(1)
TcH2Pb2 | GGA-PBE | relaxed

Cell lengths 6.4953, 6.4953, 3.5537 Å; angles 90.00, 90.00, 90.00 degrees
Fractional positions:
1 Tc 0.0000 0.0000 0.0000
2 Tc 0.5000 0.5000 0.0000
3 Pb 0.1636 0.6636 0.5000
4 Pb 0.8364 0.3365 0.5000
5 Pb 0.6636 0.8364 0.5000
6 Pb 0.3365 0.1636 0.5000
7 H 0.6915 0.1915 0.0000
8 H 0.3085 0.8085 0.0000
9 H 0.1915 0.3085 0.0000
10 H 0.8085 0.6915 0.0000

## Properties
For the mass density, the calculation gives 11.395 g/cm3. Its space group is No. 127. Its final energy is -4.19 eV/atom.

***

(2)
Nd12Y3Hg | GGA-PBE | relaxed

Cell lengths 5.0896, 5.0896, 20.6856 Å; angles 90.00, 90.00, 90.00 degrees
Fractional positions:
1 Nd 0.5000 0.5000 0.0000
2 Nd 0.5000 0.0000 0.3733
3 Nd 0.5000 0.5000 0.2450
4 Nd 0.5000 0.0000 0.1203
5 Nd 0.5000 0.5000 0.7550
6 Nd 0.0000 0.5000 0.3733
7 Nd 0.5000 0.0000 0.8797
8 Nd 0.0000 0.5000 0.1203
9 Nd 0.5000 0.5000 0.5000
10 Nd 0.0000 0.5000 0.6267
11 Nd 0.0000 0.5000 0.8797
12 Nd 0.5000 0.0000 0.6267
13 Hg 0.0000 0.0000 0.0000
14 Y 0.0000 0.0000 0.7530
15 Y 0.0000 0.0000 0.5000
16 Y 0.0000 0.0000 0.2470

## Properties
As for the formation energy: -0.024 eV per atom. For the mass density, the calculation gives 6.812 g/cm3. Its space group is No. 123.

***

(3)
Mg2HgGeRh | GGA-PBE | relaxed

Cell lengths 5.0573, 5.0573, 4.6456 Å; angles 90.00, 90.00, 90.00 degrees
Fractional positions:
1 Mg 0.0000 0.5000 0.0000
2 Mg 0.5000 0.0000 0.0000
3 Hg 0.5000 0.5000 0.5000
4 Rh 0.0000 0.0000 0.0000
5 Ge 0.0000 0.0000 0.5000

## Properties
As for the formation energy: -0.199 eV per atom. For the mass density, the calculation gives 5.936 g/cm3. Its space group is No. 123.

***

(4)
TmInGa2 | GGA-PBE | relaxed

Cell lengths 4.5129, 4.5129, 5.6872 Å; angles 66.62, 66.62, 60.00 degrees
Fractional positions:
1 In 0.0000 0.0000 0.0000
2 Ga 0.7411 0.7411 0.7767
3 Ga 0.2589 0.2589 0.2233
4 Tm 0.5000 0.5000 0.5000

## Properties
As for the formation energy: -0.251 eV per atom. For the mass density, the calculation gives 7.881 g/cm3. Its space group is No. 166.

***

(5)
NaHg2F | GGA-PBE | relaxed

Cell lengths 11.1978, 11.1978, 8.1892 Å; angles 46.87, 46.87, 90.00 degrees
Fractional positions:
1 Hg 0.8750 0.7565 0.7500
2 Hg 0.5065 0.1250 0.2500
3 Hg 0.3750 0.4935 0.7500
4 Hg 0.2435 0.6250 0.2500
5 F 0.2500 0.7500 0.5000
6 F 0.5000 0.5000 0.0000
7 Na 0.7500 0.2500 0.5000
8 Na 0.0000 0.0000 0.0000

## Properties
For the raw formation energy, the calculation gives -1.08 eV/atom. For the mass density, the calculation gives 5.616 g/cm3. Its space group is No. 122.

***

(6)
Y4Te3H | GGA-PBE | relaxed

Cell lengths 6.0912, 8.1801, 9.5134 Å; angles 90.00, 90.00, 90.00 degrees
Fractional positions:
1 Te 0.5844 0.3598 0.2400
2 Te 0.0845 0.2411 0.5000
3 Te 0.5844 0.3598 0.7600
4 Te 0.0844 0.6402 0.7400
5 Te 0.5845 0.7589 0.0000
6 Te 0.0844 0.6402 0.2600
7 Y 0.0823 0.8715 0.0000
8 Y 0.5842 0.7405 0.6920
9 Y 0.5842 0.7405 0.3080
10 Y 0.5736 0.1229 0.0000
11 Y 0.0842 0.2595 0.8080
12 Y 0.5823 0.1285 0.5000
13 Y 0.0736 0.8771 0.5000
14 Y 0.0842 0.2595 0.1920
15 H 0.4376 0.8683 0.5000
16 H 0.9376 0.1317 0.0000

## Properties
For the mass density, the calculation gives 5.181 g/cm3. Its space group is No. 31. Its final energy is -5.76 eV/atom.

***

(7)
NpNiRuRh | GGA-PBE | relaxed

Cell lengths 3.7844, 4.1258, 3.9552 Å; angles 90.00, 90.00, 90.00 degrees
Fractional positions:
1 Ru 0.0000 0.5000 0.5000
2 Ni 0.5000 0.0000 0.5000
3 Np 0.5000 0.5000 0.0000
4 Rh 0.0000 0.0000 0.0000

## Properties
As for the formation energy: -0.226 eV per atom. For the mass density, the calculation gives 13.436 g/cm3. Its space group is No. 47.

***

(8)
Ho2TlZn5 | GGA-PBE | relaxed

Cell lengths 4.3152, 8.4157, 9.0900 Å; angles 90.00, 90.00, 104.86 degrees
Fractional positions:
1 Ho 0.2016 0.4033 0.2500
2 Ho 0.7984 0.5967 0.7500
3 Ho 0.0000 0.0000 0.5000
4 Ho 0.0000 0.0000 0.0000
5 Zn 0.3879 0.7758 0.2500
6 Zn 0.6121 0.2242 0.7500
7 Zn 0.1881 0.3762 0.8907
8 Zn 0.3449 0.6897 0.5186
9 Zn 0.3449 0.6897 0.9814
10 Zn 0.6551 0.3103 0.0186
11 Zn 0.8119 0.6238 0.3907
12 Zn 0.8119 0.6238 0.1093
13 Zn 0.6551 0.3103 0.4814
14 Zn 0.1881 0.3762 0.6093
15 Tl 0.4495 0.8990 0.7500
16 Tl 0.5505 0.1010 0.2500

## Properties
As for the formation energy: -0.284 eV per atom. For the mass density, the calculation gives 8.965 g/cm3. Its space group is No. 63.

***

(9)
Dy3Ga8Ni3 | GGA-PBE | relaxed

Cell lengths 4.2625, 7.9992, 8.0783 Å; angles 67.89, 74.70, 74.55 degrees
Fractional positions:
1 Dy 0.7100 0.2883 0.2918
2 Dy 0.2900 0.7117 0.7082
3 Dy 0.0000 0.0000 0.0000
4 Ga 0.8630 0.8450 0.4289
5 Ga 0.3488 0.0301 0.2723
6 Ga 0.5071 0.6661 0.3197
7 Ga 0.1370 0.1550 0.5711
8 Ga 0.6512 0.9699 0.7277
9 Ga 0.1524 0.5696 0.1257
10 Ga 0.8476 0.4304 0.8743
11 Ga 0.4929 0.3339 0.6803
12 Ni 0.6510 0.7028 0.9951
13 Ni 0.0000 0.5000 0.5000
14 Ni 0.3490 0.2972 0.0049

## Properties
As for the formation energy: -0.564 eV per atom. For the mass density, the calculation gives 8.388 g/cm3. Its space group is No. 12.

***

(10)
ThRhS | GGA-PBE | relaxed

Cell lengths 3.8494, 3.8494, 8.4903 Å; angles 90.00, 90.00, 90.00 degrees
Fractional positions:
1 Rh 0.0000 0.5000 0.5705
2 Rh 0.5000 0.0000 0.4295
3 S 0.5000 0.0000 0.1308
4 S 0.0000 0.5000 0.8692
5 Th 0.0000 0.5000 0.2440
6 Th 0.5000 0.0000 0.7560

## Properties
For the raw formation energy, the calculation gives -1.27 eV/atom. For the mass density, the calculation gives 9.688 g/cm3. Its space group is No. 129.

***

(11)
Te2OsIBr | GGA-PBE | relaxed

Cell lengths 5.6284, 5.6284, 5.6749 Å; angles 90.00, 90.00, 90.00 degrees
Fractional positions:
1 Br 0.0000 0.0000 0.0000
2 Os 0.5000 0.5000 0.5000
3 Te 0.5000 0.0000 0.0000
4 Te 0.0000 0.5000 0.0000
5 I 0.0000 0.0000 0.5000

## Properties
For the raw formation energy, the calculation gives 1.92 eV/atom. For the mass density, the calculation gives 6.025 g/cm3. Its space group is No. 123.

***

(12)
TlPtBr2 | GGA-PBE | relaxed

Cell lengths 4.0593, 4.0593, 9.0088 Å; angles 90.00, 90.00, 125.20 degrees
Fractional positions:
1 Br 0.0000 0.0000 0.0644
2 Br 0.0000 0.0000 0.4356
3 Tl 0.5000 0.5000 0.7500
4 Pt 0.5000 0.5000 0.2500

## Properties
For the raw formation energy, the calculation gives -0.05 eV/atom. For the mass density, the calculation gives 7.656 g/cm3. Its space group is No. 65.